(1)
Computed, not measured: crystalline AcGa5Ni2 at its relaxed geometry at the PBE-GGA level of DFT.

Output
Total moment, μB/f.u.: 0.01
Volume, Å³ per atom: 17.793
Total energy, eV per atom: -4.31

Cell: 4.0911 7.0158 9.9184 Å, 90.00 90.00 90.00°
Space group Immm (No. 71)
Asymmetric unit:
Ac: 0.0000 0.0000 0.0000 (multiplicity 2)
Ga: 0.0000 0.1909 0.3412 (multiplicity 8)
Ga: 0.0000 0.5000 0.0000 (multiplicity 2)
Ni: 0.0000 0.5000 0.2325 (multiplicity 4)

---

(2)
Computed, not measured: crystalline IrO4 at its relaxed geometry at the PBE-GGA level of DFT.

Output
Total moment, μB/f.u.: 0.00
Volume, Å³ per atom: 12.500
Total energy, eV per atom: -5.90

Cell: 4.9413 5.5802 4.8921 Å, 90.00 112.07 90.00°
Space group P2/c (No. 13)
Asymmetric unit:
Ir: 0.0000 0.1734 0.2500 (multiplicity 2)
O: 0.2085 0.1122 0.9998 (multiplicity 4)
O: 0.2781 0.3628 0.4734 (multiplicity 4)

---

Look up the total energy of the second one.
-5.90 eV per atom

---

Look up the total energy of the first one.
-4.31 eV per atom

---

Number 1 is which compound?
AcGa5Ni2